Record 1
This record from Alexandria via LeMat-Bulk describes an optimized crystal structure of Tl3InHg12. The functional is PBE.

```
Tl3InHg12
1.0
5.607 0.000 0.000
0.000 5.607 0.000
0.000 0.000 14.301
Tl In Hg
3 1 12
Direct
0.000 0.000 0.000 Tl
0.000 0.000 0.255 Tl
0.000 0.000 0.745 Tl
0.000 0.000 0.500 In
0.000 0.500 0.127 Hg
0.000 0.500 0.380 Hg
0.000 0.500 0.620 Hg
0.000 0.500 0.873 Hg
0.500 0.000 0.127 Hg
0.500 0.000 0.380 Hg
0.500 0.000 0.620 Hg
0.500 0.000 0.873 Hg
0.500 0.500 0.000 Hg
0.500 0.500 0.250 Hg
0.500 0.500 0.500 Hg
0.500 0.500 0.750 Hg
```

Summary:
Uncorrected energy   -13.595 eV for the cell shown
SG   P4/mmm (123)


Record 2
This record from Alexandria via LeMat-Bulk describes an optimized crystal structure of KTcW2. The functional is PBE.

```
KTcW2
1.0
2.772 -5.002 0.000
2.772 5.002 0.000
0.000 0.000 2.632
K Tc W
1 1 2
Direct
0.000 0.000 0.000 K
0.500 0.500 0.000 Tc
0.000 0.500 0.500 W
0.500 0.000 0.500 W
```

Summary:
Offset from the most stable computed form   836 meV per atom
SG   Cmmm (65)


Record 3
This record from Alexandria via LeMat-Bulk describes an optimized crystal structure of Pr2ThSe3. The functional is PBE.

```
Pr2ThSe3
1.0
-2.127 3.001 6.348
2.127 -3.001 6.348
2.127 3.001 -6.348
Pr Th Se
2 1 3
Direct
0.171 0.171 0.000 Pr
0.829 0.829 0.000 Pr
0.500 0.500 0.000 Th
0.000 0.500 0.500 Se
0.337 0.837 0.500 Se
0.663 0.163 0.500 Se
```

Summary:
Offset from the most stable computed form   0 meV per atom
SG   Immm (71)
Energy relative to the elements, uncorrected   -1.73 eV/atom


Record 4
This record from Alexandria via LeMat-Bulk describes an optimized crystal structure of InNi2Os. The functional is PBE.

```
InNi2Os
1.0
1.396 0.806 8.453
-1.396 0.806 8.453
0.000 -1.612 8.453
In Ni Os
1 2 1
Direct
0.000 0.000 0.000 In
0.246 0.246 0.246 Ni
0.754 0.754 0.754 Ni
0.500 0.500 0.500 Os
```

Summary:
Uncorrected energy   -24.381 eV for the cell shown
SG   R-3m (166)


Record 5
This record from Alexandria via LeMat-Bulk describes an optimized crystal structure of Y2ZrCo. The functional is PBE.

```
Y2ZrCo
1.0
3.352 0.000 0.000
0.000 3.352 0.000
0.000 0.000 8.448
Y Zr Co
2 1 1
Direct
0.000 0.000 0.000 Y
0.500 0.500 0.340 Y
0.000 0.000 0.630 Zr
0.500 0.500 0.779 Co
```

Summary:
Offset from the most stable computed form   84 meV per atom
SG   P4mm (99)


Record 6
This record from Alexandria via LeMat-Bulk describes an optimized crystal structure of PmY6Ho3Th2. The functional is PBE.

```
PmY6Ho3Th2
1.0
3.099 -5.363 0.000
3.099 5.363 0.000
-2.070 0.000 11.602
Pm Y Ho Th
1 6 3 2
Direct
0.000 0.000 0.000 Pm
0.084 0.421 0.249 Y
0.254 0.254 0.751 Y
0.421 0.084 0.249 Y
0.579 0.916 0.751 Y
0.746 0.746 0.249 Y
0.916 0.579 0.751 Y
0.166 0.834 0.500 Ho
0.500 0.500 0.500 Ho
0.834 0.166 0.500 Ho
0.333 0.667 0.000 Th
0.667 0.333 0.000 Th
```

Summary:
Uncorrected energy   -71.715 eV for the cell shown
SG   C2/m (12)


Record 7
This record from Alexandria via LeMat-Bulk describes an optimized crystal structure of TaBe2Cr. The functional is PBE.

```
TaBe2Cr
1.0
1.324 0.764 8.369
-1.324 0.764 8.369
0.000 -1.528 8.369
Ta Be Cr
1 2 1
Direct
0.000 0.000 0.000 Ta
0.242 0.242 0.242 Be
0.758 0.758 0.758 Be
0.500 0.500 0.500 Cr
```

Summary:
Offset from the most stable computed form   497 meV per atom
SG   R-3m (166)


Record 8
This record from Alexandria via LeMat-Bulk describes an optimized crystal structure of Ho4CoBr5. The functional is PBE.

```
Ho4CoBr5
1.0
9.322 -1.935 0.000
9.322 1.935 0.000
-1.836 0.000 8.191
Ho Co Br
4 1 5
Direct
0.001 0.001 0.208 Ho
0.356 0.356 0.924 Ho
0.644 0.644 0.076 Ho
0.999 0.999 0.792 Ho
0.500 0.500 0.000 Co
0.168 0.168 0.336 Br
0.178 0.178 0.840 Br
0.500 0.500 0.500 Br
0.822 0.822 0.160 Br
0.832 0.832 0.664 Br
```

Summary:
SG   C2/m (12)
Energy relative to the elements, uncorrected   -1.33 eV/atom


Record 9
This record from Alexandria via LeMat-Bulk describes an optimized crystal structure of LaPmSm5Dy2. The functional is PBE.

```
LaPmSm5Dy2
1.0
2.854 -10.094 0.000
2.854 10.094 0.000
0.000 0.000 10.715
La Pm Sm Dy
2 2 10 4
Direct
0.083 0.917 0.500 La
0.917 0.083 0.000 La
0.299 0.701 0.062 Pm
0.701 0.299 0.562 Pm
0.021 0.979 0.789 Sm
0.111 0.889 0.076 Sm
0.203 0.797 0.757 Sm
0.219 0.781 0.363 Sm
0.483 0.517 0.077 Sm
0.517 0.483 0.577 Sm
0.781 0.219 0.863 Sm
0.797 0.203 0.257 Sm
0.889 0.111 0.576 Sm
0.979 0.021 0.289 Sm
0.385 0.615 0.373 Dy
0.388 0.612 0.784 Dy
0.612 0.388 0.284 Dy
0.615 0.385 0.873 Dy
```

Summary:
Uncorrected energy   -82.240 eV for the cell shown
SG   Cmc2_1 (36)


Record 10
This record from Alexandria via LeMat-Bulk describes an optimized crystal structure of Pu2AgBr8. The functional is PBE.

```
Pu2AgBr8
1.0
4.467 -6.186 0.000
4.467 6.186 0.000
-1.453 0.000 5.982
Pu Ag Br
2 1 8
Direct
0.186 0.814 0.000 Pu
0.814 0.186 0.000 Pu
0.500 0.500 0.500 Ag
0.106 0.106 0.287 Br
0.156 0.423 0.885 Br
0.289 0.711 0.500 Br
0.423 0.156 0.885 Br
0.577 0.844 0.115 Br
0.711 0.289 0.500 Br
0.844 0.577 0.115 Br
0.894 0.894 0.713 Br
```

Summary:
Offset from the most stable computed form   0 meV per atom
SG   C2/m (12)
Energy relative to the elements, uncorrected   -1.10 eV/atom


Record 11
This record from Alexandria via LeMat-Bulk describes an optimized crystal structure of Nb3IF. The functional is PBE.

```
Nb3IF
1.0
5.075 0.000 0.000
0.000 5.075 0.000
0.000 0.000 5.075
Nb I F
3 1 1
Direct
0.000 0.000 0.500 Nb
0.000 0.500 0.000 Nb
0.500 0.000 0.000 Nb
0.000 0.000 0.000 I
0.500 0.500 0.500 F
```

Summary:
Offset from the most stable computed form   1317 meV per atom
SG   Pm-3m (221)
Energy relative to the elements, uncorrected   1.76 eV/atom


Record 12
This record from Alexandria via LeMat-Bulk describes an optimized crystal structure of Ba2Cd2Pb. The functional is PBE.

```
Ba2Cd2Pb
1.0
-2.104 2.104 10.797
2.104 -2.104 10.797
2.104 2.104 -10.797
Ba Cd Pb
2 2 1
Direct
0.103 0.103 0.000 Ba
0.897 0.897 0.000 Ba
0.250 0.750 0.500 Cd
0.750 0.250 0.500 Cd
0.500 0.500 0.000 Pb
```

Summary:
Offset from the most stable computed form   116 meV per atom
SG   I4/mmm (139)


Record 13
This record from Alexandria via LeMat-Bulk describes an optimized crystal structure of La3Si3Ni. The functional is PBE.

```
La3Si3Ni
1.0
-2.041 2.194 9.166
2.041 -2.194 9.166
2.041 2.194 -9.166
La Si Ni
3 3 1
Direct
0.000 0.000 0.000 La
0.180 0.680 0.500 La
0.365 0.365 0.000 La
0.549 0.549 0.000 Si
0.738 0.238 0.500 Si
0.817 0.817 0.000 Si
0.613 0.113 0.500 Ni
```

Summary:
Offset from the most stable computed form   0 meV per atom
SG   Imm2 (44)
Energy relative to the elements, uncorrected   -0.73 eV/atom


Record 14
This record from Alexandria via LeMat-Bulk describes an optimized crystal structure of AcGa2CuAu4. The functional is PBE.

```
AcGa2CuAu4
1.0
2.257 1.303 9.240
-2.257 1.303 9.240
0.000 -2.607 9.240
Ac Ga Cu Au
1 2 1 4
Direct
0.000 0.000 0.000 Ac
0.238 0.238 0.238 Ga
0.762 0.762 0.762 Ga
0.500 0.500 0.500 Cu
0.137 0.137 0.137 Au
0.403 0.403 0.403 Au
0.597 0.597 0.597 Au
0.863 0.863 0.863 Au
```

Summary:
Uncorrected energy   -30.570 eV for the cell shown
SG   R-3m (166)


Record 15
This record from Alexandria via LeMat-Bulk describes an optimized crystal structure of CrRuPt2N. The functional is PBE.

```
CrRuPt2N
1.0
4.206 0.000 0.000
0.000 4.206 0.000
0.000 0.000 3.745
Cr Ru Pt N
1 1 2 1
Direct
0.000 0.000 0.000 Cr
0.500 0.500 0.000 Ru
0.000 0.500 0.500 Pt
0.500 0.000 0.500 Pt
0.000 0.000 0.500 N
```

Summary:
SG   P4/mmm (123)
Energy relative to the elements, uncorrected   0.43 eV/atom


Record 16
This record from Alexandria via LeMat-Bulk describes an optimized crystal structure of CaScRh. The functional is PBE.

```
CaScRh
1.0
5.312 0.000 0.000
0.000 4.142 0.000
-1.074 0.000 7.206
Ca Sc Rh
2 2 2
Direct
0.218 0.250 0.334 Ca
0.782 0.750 0.666 Ca
0.325 0.250 0.866 Sc
0.675 0.750 0.134 Sc
0.179 0.750 0.046 Rh
0.821 0.250 0.954 Rh
```

Summary:
Offset from the most stable computed form   107 meV per atom
SG   P2_1/m (11)


Record 17
This record from Alexandria via LeMat-Bulk describes an optimized crystal structure of Pm2Er5TmSc. The functional is PBE.

```
Pm2Er5TmSc
1.0
-4.202 4.202 7.861
4.202 -4.202 7.861
4.202 4.202 -7.861
Pm Er Tm Sc
4 10 2 2
Direct
0.120 0.620 0.740 Pm
0.380 0.120 0.500 Pm
0.620 0.880 0.500 Pm
0.880 0.380 0.260 Pm
0.000 0.000 0.000 Er
0.068 0.145 0.500 Er
0.145 0.645 0.077 Er
0.355 0.432 0.500 Er
0.432 0.932 0.077 Er
0.500 0.500 0.000 Er
0.568 0.068 0.923 Er
0.645 0.568 0.500 Er
0.855 0.355 0.923 Er
0.932 0.855 0.500 Er
0.250 0.250 0.000 Tm
0.750 0.750 0.000 Tm
0.250 0.750 0.500 Sc
0.750 0.250 0.500 Sc
```

Summary:
Uncorrected energy   -81.196 eV for the cell shown
SG   I4/mcm (140)


Record 18
This record from Alexandria via LeMat-Bulk describes an optimized crystal structure of TaVPtI2. The functional is PBE.

```
TaVPtI2
1.0
5.055 0.000 0.000
0.000 5.055 0.000
0.000 0.000 4.808
Ta V Pt I
1 1 1 2
Direct
0.000 0.000 0.000 Ta
0.000 0.000 0.500 V
0.500 0.500 0.000 Pt
0.000 0.500 0.500 I
0.500 0.000 0.500 I
```

Summary:
Offset from the most stable computed form   64 meV per atom
SG   P4/mmm (123)
Energy relative to the elements, uncorrected   1.35 eV/atom


Record 19
This record from Alexandria via LeMat-Bulk describes an optimized crystal structure of Cr2IrRh5. The functional is PBE.

```
Cr2IrRh5
1.0
1.338 -7.525 0.000
1.338 7.525 0.000
0.000 0.000 12.178
Cr Ir Rh
4 2 10
Direct
0.116 0.884 0.588 Cr
0.116 0.884 0.912 Cr
0.884 0.116 0.088 Cr
0.884 0.116 0.412 Cr
0.156 0.844 0.250 Ir
0.844 0.156 0.750 Ir
0.031 0.969 0.106 Rh
0.031 0.969 0.394 Rh
0.192 0.808 0.750 Rh
0.309 0.691 0.562 Rh
0.309 0.691 0.938 Rh
0.691 0.309 0.062 Rh
0.691 0.309 0.438 Rh
0.808 0.192 0.250 Rh
0.969 0.031 0.606 Rh
0.969 0.031 0.894 Rh
```

Summary:
Offset from the most stable computed form   490 meV per atom
SG   Cmcm (63)


Record 20
This record from Alexandria via LeMat-Bulk describes an optimized crystal structure of NdZn6Pt4. The functional is PBE.

```
NdZn6Pt4
1.0
7.375 0.000 0.000
-3.688 6.387 0.000
0.000 0.000 4.029
Nd Zn Pt
1 6 4
Direct
0.000 0.000 0.000 Nd
0.202 0.403 0.500 Zn
0.202 0.798 0.500 Zn
0.534 0.069 0.000 Zn
0.534 0.466 0.000 Zn
0.597 0.798 0.500 Zn
0.931 0.466 0.000 Zn
0.333 0.667 0.000 Pt
0.398 0.199 0.500 Pt
0.801 0.199 0.500 Pt
0.801 0.602 0.500 Pt
```

Summary:
Offset from the most stable computed form   0 meV per atom
SG   P-6m2 (187)


Record 21
This record from Alexandria via LeMat-Bulk describes an optimized crystal structure of Ta2Co3. The functional is PBE.

```
Ta2Co3
1.0
1.561 0.901 8.575
-1.561 0.901 8.575
0.000 -1.803 8.575
Ta Co
2 3
Direct
0.095 0.095 0.095 Ta
0.905 0.905 0.905 Ta
0.302 0.302 0.302 Co
0.500 0.500 0.500 Co
0.698 0.698 0.698 Co
```

Summary:
Offset from the most stable computed form   478 meV per atom
SG   R-3m (166)


Record 22
This record from Alexandria via LeMat-Bulk describes an optimized crystal structure of Pm4Ge3O. The functional is PBE.

```
Pm4Ge3O
1.0
7.611 0.000 0.000
0.000 9.243 0.000
0.000 0.000 6.064
Pm Ge O
8 6 2
Direct
0.000 0.048 0.000 Pm
0.000 0.776 0.456 Pm
0.242 0.330 0.492 Pm
0.258 0.670 0.992 Pm
0.500 0.224 0.956 Pm
0.500 0.952 0.500 Pm
0.742 0.670 0.992 Pm
0.758 0.330 0.492 Pm
0.000 0.078 0.504 Ge
0.164 0.355 0.993 Ge
0.336 0.645 0.493 Ge
0.500 0.922 0.004 Ge
0.664 0.645 0.493 Ge
0.836 0.355 0.993 Ge
0.000 0.783 0.061 O
0.500 0.217 0.561 O
```

Summary:
SG   Pmn2_1 (31)
Energy relative to the elements, uncorrected   -1.14 eV/atom


Record 23
This record from Alexandria via LeMat-Bulk describes an optimized crystal structure of Ca2TlNiHg. The functional is PBE.

```
Ca2TlNiHg
1.0
5.363 0.000 0.000
0.000 5.363 0.000
0.000 0.000 4.962
Ca Tl Ni Hg
2 1 1 1
Direct
0.000 0.500 0.000 Ca
0.500 0.000 0.000 Ca
0.000 0.000 0.500 Tl
0.000 0.000 0.000 Ni
0.500 0.500 0.500 Hg
```

Summary:
Uncorrected energy   -13.466 eV for the cell shown
SG   P4/mmm (123)


Record 24
This record from Alexandria via LeMat-Bulk describes an optimized crystal structure of Na2Sr2Ca. The functional is PBE.

```
Na2Sr2Ca
1.0
6.534 -3.003 0.000
6.534 3.003 0.000
-1.905 0.000 11.502
Na Sr Ca
4 4 2
Direct
0.086 0.086 0.368 Na
0.368 0.368 0.468 Na
0.632 0.632 0.532 Na
0.914 0.914 0.632 Na
0.221 0.221 0.731 Sr
0.464 0.464 0.162 Sr
0.536 0.536 0.838 Sr
0.779 0.779 0.269 Sr
0.154 0.154 0.056 Ca
0.846 0.846 0.944 Ca
```

Summary:
Offset from the most stable computed form   0 meV per atom
SG   C2/m (12)